DFT (PBE) results for La4CuPBr2 after structural relaxation.

Properties
ΔE_f (raw): -1138 meV per atom
Spin magnetization: 0.00 μB per formula unit
Symmetry: P2/m (10)
V: 232 Å³ per cell
Mass density: 5.789 g cm⁻³
Density of states at the Fermi level: 0.719 states/eV/atom

Cell and atoms, written as POSCAR:
```
La4CuPBr2
1.0
-0.457 -0.156 4.162
1.328 -7.407 -0.131
6.788 3.620 0.881
La P Cu Br
4 1 1 2
Direct
0.500 0.762 0.784 La
0.000 0.730 0.217 La
0.500 0.238 0.216 La
0.000 0.270 0.783 La
0.500 0.500 0.000 P
0.000 0.000 0.000 Cu
0.500 0.000 0.500 Br
0.000 0.500 0.500 Br
```